1.
Below is a relaxed structure of LaZnOs2, with properties calculated at the PBEsol level.

The value obtained for the formation energy is 2.50 eV/f.u.

The space group is R-3m (No. 166, hexagonal axes) and the conventional cell measures 2.8441, 2.8441 and 28.4897 Å, with angles of 90.00, 90.00 and 120.00 degrees. The asymmetric unit holds La at (0.0000, 0.0000, 0.0000), Zn at (0.0000, 0.0000, 0.5000) and Os at (0.0000, 0.0000, 0.2386).

***

2.
Below is a relaxed structure of Y5Fe, with properties calculated at the PBEsol level.

The value obtained for the formation energy is 0.45 eV/f.u.

The space group is C2/m (No. 12) and the conventional cell measures 11.9173, 3.4746 and 8.2647 Å, with angles of 90.00, 111.33 and 90.00 degrees. The asymmetric unit holds Y at (0.0000, 0.0000, 0.0000), Y at (0.1272, 0.5000, 0.3749), Y at (0.1650, 0.5000, 0.7849) and Fe at (0.0000, 0.0000, 0.5000).

***

3.
Below is a relaxed structure of Cr2InI, with properties calculated at the PBEsol level.

For the uncorrected formation energy, the calculation gives 0.869 eV per atom.

The space group is Fm-3m (No. 225) and the conventional cell measures 6.8854, 6.8854 and 6.8854 Å, with angles of 90.00, 90.00 and 90.00 degrees. The asymmetric unit holds Cr at (0.2500, 0.2500, 0.2500), In at (0.0000, 0.0000, 0.0000) and I at (0.0000, 0.0000, 0.5000).

***

4.
Below is a relaxed structure of BaCrOs, with properties calculated at the PBEsol level.

The calculation puts the polymorph energy (0 for the lowest one) at 0.000 eV/atom. The value obtained for the formation energy is 4.66 eV/f.u.

The space group is F-43m (No. 216) and the conventional cell measures 6.2878, 6.2878 and 6.2878 Å, with angles of 90.00, 90.00 and 90.00 degrees. The asymmetric unit holds Ba at (0.0000, 0.0000, 0.0000), Cr at (0.2500, 0.2500, 0.7500) and Os at (0.0000, 0.0000, 0.5000).

***

5.
Below is a relaxed structure of TiTcW, with properties calculated at the PBEsol level.

The value obtained for the formation energy is -1.08 eV/f.u.

The space group is Cmcm (No. 63) and the conventional cell measures 3.0953, 13.3320 and 4.3401 Å, with angles of 90.00, 90.00 and 90.00 degrees. The asymmetric unit holds Ti at (0.0000, 0.0796, 0.2500), Tc at (0.0000, 0.4151, 0.2500) and W at (0.0000, 0.2453, 0.7500).

***

6.
Below is a relaxed structure of ReSi3Tc, with properties calculated at the PBEsol level.

For the uncorrected formation energy, the calculation gives 1.196 eV per atom.

The space group is Pm-3m (No. 221) and the conventional cell measures 4.5952, 4.5952 and 4.5952 Å, with angles of 90.00, 90.00 and 90.00 degrees. The asymmetric unit holds Re at (0.0000, 0.0000, 0.0000), Si at (0.0000, 0.0000, 0.5000) and Tc at (0.5000, 0.5000, 0.5000).

***

7.
Below is a relaxed structure of Fe3OF5, with properties calculated at the PBEsol level.

For the uncorrected formation energy, the calculation gives -1.630 eV per atom. The calculation puts the polymorph energy (0 for the lowest one) at 0.162 eV/atom.

The space group is Cmmm (No. 65) and the conventional cell measures 6.8008, 19.5798 and 2.9736 Å, with angles of 90.00, 90.00 and 90.00 degrees. The asymmetric unit holds Fe at (0.0000, 0.0000, 0.0000), Fe at (0.0000, 0.1563, 0.5000), Fe at (0.0000, 0.3291, 0.0000), Fe at (0.0000, 0.5000, 0.5000), O at (0.0000, 0.0968, 0.0000), F at (0.0000, 0.2323, 0.0000), F at (0.0000, 0.4265, 0.0000), F at (0.1822, 0.3295, 0.5000) and F at (0.2191, 0.0000, 0.5000).

***

8.
Below is a relaxed structure of KSn2Os, with properties calculated at the PBEsol level.

The value obtained for the formation energy is 1.98 eV/f.u.

The space group is Fm-3m (No. 225) and the conventional cell measures 6.8523, 6.8523 and 6.8523 Å, with angles of 90.00, 90.00 and 90.00 degrees. The asymmetric unit holds K at (0.0000, 0.0000, 0.0000), Sn at (0.2500, 0.2500, 0.2500) and Os at (0.0000, 0.0000, 0.5000).

***

9.
Below is a relaxed structure of Li2CuAg, with properties calculated at the PBEsol level.

The value obtained for the formation energy is -0.14 eV/f.u.

The space group is C2/m (No. 12) and the conventional cell measures 8.9668, 2.7294 and 4.6689 Å, with angles of 90.00, 101.34 and 90.00 degrees. The asymmetric unit holds Li at (0.2449, 0.0000, 0.2430), Cu at (0.0000, 0.5000, 0.0000) and Ag at (0.0000, 0.0000, 0.5000).

***

10.
Below is a relaxed structure of K2BaZrO, with properties calculated at the PBEsol level.

For the uncorrected formation energy, the calculation gives 1.248 eV per atom.

The space group is P4/mmm (No. 123) and the conventional cell measures 6.3079, 6.3079 and 6.5445 Å, with angles of 90.00, 90.00 and 90.00 degrees. The asymmetric unit holds K at (0.0000, 0.5000, 0.0000), Ba at (0.0000, 0.0000, 0.5000), Zr at (0.0000, 0.0000, 0.0000) and O at (0.5000, 0.5000, 0.5000).

***

11.
Below is a relaxed structure of Li2HgPt, with properties calculated at the PBEsol level.

The value obtained for the formation energy is -1.79 eV/f.u.

The space group is P4/mmm (No. 123) and the conventional cell measures 3.9579, 3.9579 and 3.7731 Å, with angles of 90.00, 90.00 and 90.00 degrees. The asymmetric unit holds Li at (0.0000, 0.5000, 0.0000), Hg at (0.0000, 0.0000, 0.5000) and Pt at (0.5000, 0.5000, 0.5000).

***

12.
Below is a relaxed structure of ScTcPt2, with properties calculated at the PBEsol level.

The calculation puts the polymorph energy (0 for the lowest one) at 0.000 eV/atom. The value obtained for the formation energy is -2.51 eV/f.u.

The space group is Cmmm (No. 65) and the conventional cell measures 5.5248, 7.9337 and 2.7748 Å, with angles of 90.00, 90.00 and 90.00 degrees. The asymmetric unit holds Sc at (0.0000, 0.0000, 0.0000), Tc at (0.0000, 0.5000, 0.0000) and Pt at (0.2500, 0.2500, 0.5000).

***

Values for DOS at the Fermi energy, states/eV per cell, ordered as above
13.1, 16.5, 11.5, 11.4, 5.1, 3.3, 27.0, 11.8, 2.6, 5.5, 1.1, 5.9